Here is Ac2TbGeO6 after structural relaxation from the Alexandria database. Energies are from PBE.

Formation energy without anion corrections: -2778 meV/atom

Lattice parameters (Å, degrees): 10.3567 5.9396 6.0133 90.00 124.33 90.00
Last column: nearest neighbours and their distance in Å.
Space group C2/m (No. 12)
Unique sites:
Ac: 0.2474 0.0000 0.2286  5 O 2.47-2.60
Tb: 0.0000 0.0000 0.5000  6 O 2.26-2.29
Ge: 0.0000 0.5000 0.0000  6 O 2.11-2.18
O: 0.0633 0.2560 0.8238  1 Ge 2.11, 1 Tb 2.26
O: 0.2421 0.5000 0.3502  1 Ge 2.18, 1 Tb 2.29



Here is AcTcGe2O8 after structural relaxation from the Alexandria database. Energies are from PBE.

Formation energy without anion corrections: -1579 meV/atom

Lattice parameters (Å, degrees): 7.2355 7.2355 6.2560 90.00 90.00 90.00
Last column: nearest neighbours and their distance in Å.
Space group I-4m2 (No. 119)
Unique sites:
Ac: 0.0000 0.0000 0.0000  8 O 2.46-2.51
Tc: 0.0000 0.5000 0.7500  8 O 2.12-2.23
Ge: 0.0000 0.0000 0.5000  4 O 1.79
Ge: 0.0000 0.5000 0.2500  4 O 1.79
O: 0.0000 0.1993 0.6708  1 Ge 1.79
O: 0.0000 0.3388 0.0338  1 Ge 1.79



Here is AcGeTe2O after structural relaxation from the Alexandria database. Energies are from PBE.

Formation energy without anion corrections: -1418 meV/atom

Lattice parameters (Å, degrees): 4.1720 4.1720 16.0446 90.00 90.00 90.00
Last column: nearest neighbours and their distance in Å.
Space group P4/nmm (No. 129, origin choice 2)
Unique sites:
Ac: 0.2500 0.2500 0.0820  4 O 2.47
Ge: 0.2500 0.2500 0.6252  5 Te 2.71-3.00
Te: 0.2500 0.2500 0.4077  4 Ge 3.00
Te: 0.2500 0.2500 0.7942  1 Ge 2.71
O: 0.2500 0.7500 0.0000  4 Ac 2.47



Here is Ac8Ge3Te4O after structural relaxation from the Alexandria database. Energies are from PBE.

Formation energy without anion corrections: -1356 meV/atom

Lattice parameters (Å, degrees): 15.7328 9.0774 9.3493 90.00 124.11 90.00
Last column: nearest neighbours and their distance in Å.
Space group C2/m (No. 12)
Unique sites:
Ac: 0.0090 0.2421 0.2848  1 O 3.04, 2 Ge 3.14, 2 Te 3.39-3.40
Ac: 0.2345 0.0000 0.7166  1 O 3.06, 2 Ge 3.14, 2 Te 3.39
Ac: 0.2423 0.5000 0.7271  3 Ge 3.16, 3 Te 3.37
Ge: 0.0000 0.5000 0.5000  6 Ac 3.14-3.16
Ge: 0.2500 0.2500 0.5000  6 Ac 3.14-3.16
Te: 0.0000 0.0000 0.0000  6 Ac 3.37-3.39
Te: 0.0000 0.5000 0.0000  6 Ac 3.47-3.49
Te: 0.2500 0.2500 0.0000  6 Ac 3.37-3.40
O: 0.0000 0.0000 0.5000  6 Ac 3.04-3.06